Entry 1:
H5PdRh: relaxed, PBE.

Calculated values
**VASP energy**: -4.11 eV/atom
**Mass density**: 7.12 g/cm³
**Calculated volume**: 200.0 Å³ per cell

Cell: 8.1991 5.9267 5.7943 Å, 90.00 134.74 90.00°
With the nearest neighbours (Å) after each atom.
Space group C2/c (No. 15)
Symmetry-distinct sites (fractional):
H 0.0000 0.0000 0.2500 x4  1 Rh 1.65, 2 H 1.65
H 0.0006 0.3035 0.4430 x8  1 Rh 1.79, 2 Pd 1.85-1.87
H 0.2313 0.1258 0.0844 x8  1 H 1.65, 2 Rh 1.73-1.77
Pd 0.2500 0.2500 0.5000 x4  4 H 1.85-1.87
Rh 0.0000 0.2777 0.7500 x4  7 H 1.65-1.79



Entry 2:
HPdRh2: relaxed, PBE.

Calculated values
**Energy relative to the lowest polymorph listed for this composition**: 21.4 kJ/mol of atoms
**Mass density**: 10.97 g/cm³
**Calculated volume**: 47.4 Å³ per cell

Cell: 2.6827 2.6827 6.5894 Å, 90.00 90.00 90.00°
With the nearest neighbours (Å) after each atom.
Space group P4/mmm (No. 123)
Symmetry-distinct sites (fractional):
H 0.0000 0.0000 0.0000 x1  8 Rh 2.27
Pd 0.0000 0.0000 0.5000 x1  4 Pd 2.68, 8 Rh 2.79
Rh 0.5000 0.5000 0.1905 x2  4 H 2.27, 1 Rh 2.51



Entry 3:
H2PdRh: relaxed, PBE.

Calculated values
**Energy relative to the lowest polymorph listed for this composition**: 1.9 kJ/mol of atoms
**Mass density**: 9.48 g/cm³
**Calculated volume**: 111.1 Å³ per cell

Cell: 2.8821 2.8821 15.4434 Å, 90.00 90.00 120.00°
With the nearest neighbours (Å) after each atom.
Space group R-3m (No. 166, hexagonal axes)
Symmetry-distinct sites (fractional):
H 0.0000 0.0000 0.1154 x6  1 Pd 1.78, 3 Rh 1.84
Pd 0.0000 0.0000 0.0000 x3  2 H 1.78
Rh 0.0000 0.0000 0.5000 x3  6 H 1.84



Entry 4:
H7PdRh2: relaxed, PBE.

Calculated values
**VASP energy**: -4.23 eV/atom
**Mass density**: 7.03 g/cm³
**Calculated volume**: 150.7 Å³ per cell

Cell: 5.6024 8.3894 3.2070 Å, 90.00 90.00 90.00°
With the nearest neighbours (Å) after each atom.
Space group Cmmm (No. 65)
Symmetry-distinct sites (fractional):
H 0.0000 0.0000 0.0000 x2  2 Rh 1.69
H 0.0000 0.2749 0.5000 x4  2 Rh 1.72, 1 Pd 1.89
H 0.2039 0.3681 0.0000 x8  2 Rh 1.76-1.80
Pd 0.0000 0.5000 0.5000 x2  2 H 1.89
Rh 0.0000 0.2020 0.0000 x4  7 H 1.69-1.80